Entry 1:
Density functional theory data (GGA-PBE) for an optimized crystal structure of Ba3U2N4O2.

CIF file:
```
data_Ba3U2N4O2
_symmetry_space_group_name_H-M 'I 4/m m m'
_symmetry_Int_Tables_number 139
_symmetry_space_group_name_Hall '-I 4 2'
_cell_length_a 4.3396
_cell_length_b 4.3396
_cell_length_c 22.5132
_cell_angle_alpha 90.00
_cell_angle_beta 90.00
_cell_angle_gamma 90.00
loop_
_atom_site_label
_atom_site_type_symbol
_atom_site_fract_x
_atom_site_fract_y
_atom_site_fract_z
Ba1 Ba 0.0000 0.0000 0.0000
Ba2 Ba 0.0000 0.0000 0.1851
U1 U 0.0000 0.0000 0.4014
N1 N 0.0000 0.5000 0.0958
O1 O 0.0000 0.0000 0.3064
```

Values from the calculation:
As for the volume: 19.3 A^3/atom. The calculation puts the total energy at -8.198 eV per atom.



Entry 2:
Density functional theory data (GGA-PBE) for an optimized crystal structure of CaZnRu3.

CIF file:
```
data_CaZnRu3
_symmetry_space_group_name_H-M 'P m -3 m'
_symmetry_Int_Tables_number 221
_symmetry_space_group_name_Hall '-P 4 2 3'
_cell_length_a 4.6233
_cell_length_b 4.6233
_cell_length_c 4.6233
_cell_angle_alpha 90.00
_cell_angle_beta 90.00
_cell_angle_gamma 90.00
loop_
_atom_site_label
_atom_site_type_symbol
_atom_site_fract_x
_atom_site_fract_y
_atom_site_fract_z
Ca1 Ca 0.0000 0.0000 0.0000
Zn1 Zn 0.5000 0.5000 0.5000
Ru1 Ru 0.0000 0.5000 0.5000
```

Values from the calculation:
As for the volume: 19.8 A^3/atom. The distance to the lowest polymorph of the same formula comes out at 0.000 eV/atom. The energy relative to the elements is 1.093 eV per atom. The calculation puts the total energy at -5.128 eV per atom.



Number 1 is which compound? Ba3U2N4O2



Number 2 is which compound? CaZnRu3